1.
The following is a DFT calculation (PBE) of a relaxed structure of BaCuBiSb.

Properties
* uncorrected formation energy: -11.45 kcal/mol of atoms
* symmetry: P4/nmm (129)
* calculated volume: 245.3 Å³ per cell

a b c (Å): 4.604 4.604 11.570
angles (deg): 90.00 90.00 90.00
Fractional positions:
Ba (0.250, 0.250, 0.764)
Ba (0.750, 0.750, 0.236)
Sb (0.750, 0.750, 0.884)
Sb (0.250, 0.250, 0.116)
Cu (0.250, 0.750, 0.000)
Cu (0.750, 0.250, 0.000)
Bi (0.250, 0.750, 0.500)
Bi (0.750, 0.250, 0.500)



2.
The following is a DFT calculation (PBE) of a relaxed structure of Pm2SnTe3.

Properties
* uncorrected formation energy: -19.00 kcal/mol of atoms
* symmetry: Immm (71)
* calculated volume: 196.9 Å³ per cell

a b c (Å): 3.903 5.745 9.442
angles (deg): 107.71 101.93 90.00
Fractional positions:
Pm (0.353, 0.353, 0.707)
Pm (0.647, 0.647, 0.293)
Te (0.175, 0.175, 0.350)
Te (0.000, 0.500, 0.000)
Te (0.825, 0.825, 0.650)
Sn (0.000, 0.000, 0.000)



3.
The following is a DFT calculation (PBE) of a relaxed structure of Nd2TlRu.

Properties
* formation enthalpy at 0 K: -0.121 eV/atom
* excess energy over the best structure of this formula in the dataset: 148 meV/atom
* symmetry: P4/mmm (123)
* calculated volume: 102.5 Å³ per cell

a b c (Å): 3.782 5.205 5.205
angles (deg): 90.00 90.00 90.00
Fractional positions:
Nd (0.000, 0.000, 0.500)
Nd (0.000, 0.500, 0.000)
Tl (0.500, 0.000, 0.000)
Ru (0.500, 0.500, 0.500)



Question: Which of these has the highest calculated volume?
Answer: BaCuBiSb



Question: Which value of calculated volume does entry 1 give?
Answer: 245.3 Å³ per cell



Please write out number 1 again, unchanged.
The following is a DFT calculation (PBE) of a relaxed structure of BaCuBiSb.

Properties
* uncorrected formation energy: -11.45 kcal/mol of atoms
* symmetry: P4/nmm (129)
* calculated volume: 245.3 Å³ per cell

a b c (Å): 4.604 4.604 11.570
angles (deg): 90.00 90.00 90.00
Fractional positions:
Ba (0.250, 0.250, 0.764)
Ba (0.750, 0.750, 0.236)
Sb (0.750, 0.750, 0.884)
Sb (0.250, 0.250, 0.116)
Cu (0.250, 0.750, 0.000)
Cu (0.750, 0.250, 0.000)
Bi (0.250, 0.750, 0.500)
Bi (0.750, 0.250, 0.500)